A relaxed VCrP2O8F2 crystal. Source: Alexandria, functional PBE+U.

Summary:
Space group: No. 2
Crystal system: triclinic
ΔE to the lowest computed polymorph, kJ/mol of atoms: 12.4
Total DFT energy (no corrections), eV/cell: -97.38

POSCAR file:
```
VCrP2O8F2
1.0
4.654 -1.185 -0.351
-1.560 5.144 0.474
-2.174 -1.945 7.235
O P Cr F V
8 2 1 2 1
Cartesian
2.182 -1.520 5.959
1.836 0.559 0.211
-0.660 1.093 1.795
2.052 0.978 2.675
-0.917 1.456 7.146
-1.263 3.534 1.399
-1.132 1.037 4.683
1.579 0.922 5.563
-1.869 1.074 6.004
2.788 0.940 1.353
0.460 1.007 3.679
0.352 -0.766 3.696
0.567 2.781 3.662
0.000 0.000 0.000
```